Below is a PBEsol-optimized structure of ZrRe2Pb, with properties calculated at the meta-GGA SCAN level.

CIF file:
```
data_ZrRe2Pb
_cell_length_a 4.116
_cell_length_b 4.116
_cell_length_c 8.387
_cell_angle_alpha 90.00
_cell_angle_beta 90.00
_cell_angle_gamma 90.00
_space_group_name_H-M_alt 'I 4/m m m'
_space_group_IT_number 139
_space_group_name_Hall '-I 4 2'
loop_
_atom_site_label
_atom_site_type_symbol
_atom_site_fract_x
_atom_site_fract_y
_atom_site_fract_z
_atom_site_occupancy
Zr1 Zr 0.000 0.000 0.000 1
Re1 Re 0.000 0.500 0.250 1
Pb1 Pb 0.000 0.000 0.500 1
```

Output
Magnetization   0.00 μB/f.u.
Total energy   -61.64 eV/atom
Energy of formation from the pure elements   0.53 eV/atom
V   17.8 Å³/atom